A geometry-optimized Th2MnSe structure, computed with GGA-PBE.

Its energy relative to the elements, uncorrected is -2.14 eV/f.u. As for the crystal system: trigonal. For the total energy, the calculation gives -88.9 eV per cell. Its volume is 25.64 A^3/atom.

It has space group R-3m (No. 166, hexagonal axes), with a = 4.0052 Å, b = 4.0052 Å, c = 22.1430 Å, α = 90.00°, β = 90.00° and γ = 120.00°. Symmetry generates all atoms from Th at (0.0000, 0.0000, 0.2372), Mn at (0.0000, 0.0000, 0.5000) and Se at (0.0000, 0.0000, 0.0000).

---

A geometry-optimized Tb5Cd4Ag structure, computed with GGA-PBE.

As for the crystal system: tetragonal. For the total energy, the calculation gives -32.8 eV per cell. The value obtained for the formation energy is -30.4 kJ/mol of atoms. Its volume is 26.08 A^3/atom.

It has space group P4/mmm (No. 123), with a = 3.7279 Å, b = 3.7279 Å, c = 18.7636 Å, α = 90.00°, β = 90.00° and γ = 90.00°. Symmetry generates all atoms from Tb at (0.0000, 0.0000, 0.0000), Tb at (0.0000, 0.0000, 0.2026), Tb at (0.0000, 0.0000, 0.4050), Cd at (0.5000, 0.5000, 0.1013), Cd at (0.5000, 0.5000, 0.3022) and Ag at (0.5000, 0.5000, 0.5000).

---

A geometry-optimized Ti3CoPd2 structure, computed with GGA-PBE.

As for the crystal system: tetragonal. For the total energy, the calculation gives -44.0 eV per cell. The value obtained for the formation energy is -45.8 kJ/mol of atoms. Its volume is 14.80 A^3/atom.

It has space group P4/mmm (No. 123), with a = 2.8636 Å, b = 2.8636 Å, c = 10.8288 Å, α = 90.00°, β = 90.00° and γ = 90.00°. Symmetry generates all atoms from Ti at (0.0000, 0.0000, 0.0000), Ti at (0.0000, 0.0000, 0.3548), Co at (0.5000, 0.5000, 0.5000) and Pd at (0.5000, 0.5000, 0.1775).

---

A geometry-optimized Sr3LiDy3Se8 structure, computed with GGA-PBE.

Its energy relative to the elements, uncorrected is -27.45 eV/f.u. As for the crystal system: trigonal. For the total energy, the calculation gives -228.3 eV per cell. Its volume is 28.55 A^3/atom.

It has space group R-3m (No. 166, hexagonal axes), with a = 8.3618 Å, b = 8.3618 Å, c = 21.2208 Å, α = 90.00°, β = 90.00° and γ = 120.00°. Symmetry generates all atoms from Sr at (0.0000, 0.5000, 0.0000), Li at (0.0000, 0.0000, 0.5000), Dy at (0.0000, 0.5000, 0.5000), Se at (0.0000, 0.0000, 0.2433) and Se at (0.0032, 0.5016, 0.7591).

---

A geometry-optimized MnBeZn2 structure, computed with GGA-PBE.

As for the crystal system: tetragonal. For the total energy, the calculation gives -55.3 eV per cell. The value obtained for the formation energy is 39.2 kJ/mol of atoms. Its volume is 13.70 A^3/atom.

It has space group I-42d (No. 122), with a = 3.5116 Å, b = 3.5116 Å, c = 17.7758 Å, α = 90.00°, β = 90.00° and γ = 90.00°. Symmetry generates all atoms from Mn at (0.0000, 0.0000, 0.0000), Be at (0.0000, 0.0000, 0.5000) and Zn at (0.2451, 0.2500, 0.6250).

---

A geometry-optimized CePm3Nd12 structure, computed with GGA-PBE.

As for the crystal system: tetragonal. For the total energy, the calculation gives -76.9 eV per cell. The value obtained for the formation energy is 2.7 kJ/mol of atoms. Its volume is 34.87 A^3/atom.

It has space group P4/mmm (No. 123), with a = 5.1895 Å, b = 5.1895 Å, c = 20.7167 Å, α = 90.00°, β = 90.00° and γ = 90.00°. Symmetry generates all atoms from Ce at (0.0000, 0.0000, 0.0000), Pm at (0.0000, 0.0000, 0.2488), Pm at (0.0000, 0.0000, 0.5000), Nd at (0.0000, 0.5000, 0.1225), Nd at (0.0000, 0.5000, 0.3743), Nd at (0.5000, 0.5000, 0.0000), Nd at (0.5000, 0.5000, 0.2499) and Nd at (0.5000, 0.5000, 0.5000).